Record 1
Below is HfNbCr after structural relaxation, with properties calculated at the GGA-PBE level.

## Properties
ΔE_f ... 0.171 eV per atom
V ... 17.26 Å³ per atom
D(E_F) ... 1.30 states/eV/atom
M_tot ... 0.00 μB per formula unit

Lattice parameters (Å, degrees): 4.4242 4.4242 3.0555 90.00 90.00 120.00
Fractional coordinates of all 3 atoms:
Hf  0.0000  0.0000  0.2795
Cr  0.6667  0.3333  0.6170
Nb  0.3333  0.6667  0.8722


Record 2
Below is Th3GaP2Rh9 after structural relaxation, with properties calculated at the GGA-PBE level.

## Properties
ΔE_f ... -0.778 eV per atom
V ... 18.82 Å³ per atom
D(E_F) ... 0.63 states/eV/atom
M_tot ... 0.00 μB per formula unit

Lattice parameters (Å, degrees): 5.7978 5.7978 9.6976 90.00 90.00 120.00
Fractional coordinates of all 15 atoms:
Rh  0.6758  0.8379  0.3050
Rh  0.5000  0.0000  0.0000
Rh  0.1621  0.3242  0.3050
Rh  0.0000  0.5000  0.0000
Ga  0.0000  0.0000  0.5000
Rh  0.8379  0.6758  0.6950
Rh  0.5000  0.5000  0.0000
Rh  0.1621  0.8379  0.3050
Th  0.6667  0.3333  0.3711
P  0.3333  0.6667  0.1593
Th  0.0000  0.0000  0.0000
Th  0.3333  0.6667  0.6289
Rh  0.3242  0.1621  0.6950
P  0.6667  0.3333  0.8407
Rh  0.8379  0.1621  0.6950


Record 3
Below is Pm2DyGa4 after structural relaxation, with properties calculated at the GGA-PBE level.

## Properties
ΔE_f ... -0.616 eV per atom
V ... 24.01 Å³ per atom
D(E_F) ... 0.81 states/eV/atom
M_tot ... 0.52 μB per formula unit

Lattice parameters (Å, degrees): 4.1827 4.3086 9.7958 102.70 102.33 90.00
Site moments in Bohr magnetons follow the coordinates.
Fractional coordinates of all 7 atoms:
Ga  0.3584  0.3584  0.7167  0.00
Ga  0.9348  0.4348  0.8696  0.00
Pm  0.8157  0.8157  0.6314  0.11
Pm  0.1843  0.1843  0.3686  0.11
Ga  0.0652  0.5652  0.1304  0.00
Dy  0.5000  0.0000  0.0000  0.00
Ga  0.6416  0.6416  0.2833  0.00


Record 4
Below is Er2Zn5Sn after structural relaxation, with properties calculated at the GGA-PBE level.

## Properties
ΔE_f ... -0.397 eV per atom
V ... 19.54 Å³ per atom
D(E_F) ... 0.47 states/eV/atom
M_tot ... 0.00 μB per formula unit

Lattice parameters (Å, degrees): 4.3020 8.3505 9.0072 90.00 90.00 104.93
Fractional coordinates of all 16 atoms:
Zn  0.6546  0.3091  0.4793
Zn  0.8114  0.6227  0.1084
Zn  0.8114  0.6227  0.3916
Er  0.0000  0.0000  0.0000
Er  0.0000  0.0000  0.5000
Zn  0.3880  0.7760  0.2500
Zn  0.1886  0.3773  0.6084
Er  0.7994  0.5988  0.7500
Zn  0.1886  0.3773  0.8916
Er  0.2006  0.4012  0.2500
Zn  0.3454  0.6909  0.9793
Sn  0.4502  0.9004  0.7500
Zn  0.3454  0.6909  0.5207
Sn  0.5498  0.0996  0.2500
Zn  0.6546  0.3091  0.0207
Zn  0.6120  0.2240  0.7500


Record 5
Below is Ba2AgGe2S6 after structural relaxation, with properties calculated at the GGA-PBE level.

## Properties
Raw formation energy ... -9.63 eV per formula unit
V ... 27.72 Å³ per atom
D(E_F) ... 0.13 states/eV/atom
M_tot ... 0.00 μB per formula unit

Lattice parameters (Å, degrees): 6.9936 6.9936 8.2546 64.94 64.94 60.00
Fractional coordinates of all 11 atoms:
S  0.2222  0.7557  0.2664
S  0.7557  0.2222  0.2664
S  0.2443  0.2443  0.7336
S  0.2443  0.7778  0.7336
Ge  0.5595  0.5595  0.3215
S  0.7557  0.7557  0.2664
Ag  0.0000  0.0000  0.0000
S  0.7778  0.2443  0.7336
Ge  0.4405  0.4405  0.6785
Ba  0.7828  0.7828  0.6516
Ba  0.2172  0.2172  0.3484


The highest V belongs to which entry? Ba2AgGe2S6


Repeat the third record exactly.
Below is Pm2DyGa4 after structural relaxation, with properties calculated at the GGA-PBE level.

## Properties
ΔE_f ... -0.616 eV per atom
V ... 24.01 Å³ per atom
D(E_F) ... 0.81 states/eV/atom
M_tot ... 0.52 μB per formula unit

Lattice parameters (Å, degrees): 4.1827 4.3086 9.7958 102.70 102.33 90.00
Site moments in Bohr magnetons follow the coordinates.
Fractional coordinates of all 7 atoms:
Ga  0.3584  0.3584  0.7167  0.00
Ga  0.9348  0.4348  0.8696  0.00
Pm  0.8157  0.8157  0.6314  0.11
Pm  0.1843  0.1843  0.3686  0.11
Ga  0.0652  0.5652  0.1304  0.00
Dy  0.5000  0.0000  0.0000  0.00
Ga  0.6416  0.6416  0.2833  0.00


Among the records above, which one has the highest D(E_F)? HfNbCr


Look up the V of the first one. 17.26 Å³ per atom